(1)
Compound: NiIrC2
Source: the Alexandria database
Functional: PBE
Structure: relaxed

abc: 5.519 5.519 5.519
angles: 131.96 131.96 70.29
Fractional positions:
Ni1 0.000 0.000 0.000
Ni2 0.750 0.250 0.500
Ir1 0.250 0.750 0.500
Ir2 0.500 0.500 0.000
C1 0.117 0.625 0.992
C2 0.375 0.367 0.492
C3 0.633 0.125 0.008
C4 0.875 0.883 0.508

## Properties
* energy of formation: 697 meV per atom
* density: 10.0 g cm⁻³
* space-group type: No. 122



(2)
Compound: NiIr3C
Source: the Alexandria database
Functional: PBE
Structure: relaxed

abc: 4.043 4.043 4.043
angles: 90.00 90.00 90.00
Fractional positions:
Ni1 0.000 0.000 0.000
Ir1 0.000 0.500 0.500
Ir2 0.500 0.000 0.500
Ir3 0.500 0.500 0.000
C1 0.500 0.500 0.500

## Properties
* energy of formation: 522 meV per atom
* density: 16.3 g cm⁻³
* space-group type: No. 221



(3)
Compound: Ni2Ir2C
Source: the Alexandria database
Functional: PBE
Structure: relaxed

abc: 5.440 5.440 4.287
angles: 90.00 90.00 90.00
Fractional positions:
Ni1 0.155 0.345 0.000
Ni2 0.345 0.845 0.000
Ni3 0.655 0.155 0.000
Ni4 0.845 0.655 0.000
Ir1 0.170 0.670 0.500
Ir2 0.330 0.170 0.500
Ir3 0.670 0.830 0.500
Ir4 0.830 0.330 0.500
C1 0.000 0.000 0.500
C2 0.500 0.500 0.500

## Properties
* energy of formation: 427 meV per atom
* density: 13.5 g cm⁻³
* space-group type: No. 127



Number 1: energy above the lowest structure with this stoichiometry 0.1598 eV per atom. Number 2: energy above the lowest structure with this stoichiometry 0.0000 eV per atom. Number 3: energy above the lowest structure with this stoichiometry 0.0000 eV per atom.